Density functional theory data (PBE) for a relaxed structure of NbGa2Ni3.

## Properties
Calculated total energy: -5.852 eV/atom
Fermi-level density of states: 5.73 states/eV/f.u.

Unit cell a=4.0141 b=6.4477 c=12.2642 alpha=90.00 beta=90.00 gamma=90.00
Closest atoms and distances in Å follow each position.
Space group Imma (No. 74)
Symmetry-distinct sites (fractional):
Nb1 0.0000 0.2500 0.1726 x4  8 Ni 2.66-2.72, 2 Nb 2.76, 2 Ga 2.80
Ga1 0.0000 0.2500 0.4870 x4  8 Ni 2.57-2.58, 2 Nb 2.80
Ga2 0.0000 0.2500 0.8372 x4  8 Ni 2.45-2.57
Ni1 0.0000 0.0000 0.0000 x4  6 Ga 2.57-2.58, 2 Nb 2.66, 4 Ni 2.83
Ni2 0.0000 0.0316 0.6621 x8  5 Ga 2.45-2.58, 3 Nb 2.71-2.72



Density functional theory data (PBE) for a relaxed structure of Li2BeCr.

## Properties
Calculated total energy: -3.743 eV/atom
Fermi-level density of states: 2.82 states/eV/f.u.

Unit cell a=2.6575 b=4.2232 c=5.0345 alpha=90.00 beta=90.00 gamma=90.00
Closest atoms and distances in Å follow each position.
Space group Pmmm (No. 47)
Symmetry-distinct sites (fractional):
Li1 0.0000 0.0000 0.2355 x2  1 Li 2.37
Be1 0.5000 0.5000 0.0000 x1  2 Cr 2.52, 2 Be 2.66, 8 Li 2.76
Cr1 0.5000 0.5000 0.5000 x1  2 Be 2.52, 2 Cr 2.66



Density functional theory data (PBE) for a relaxed structure of TlVS2N.

## Properties
ΔE_f (raw): -0.550 eV per formula unit
Calculated total energy: -5.723 eV/atom
Fermi-level density of states: 2.10 states/eV/f.u.

Unit cell a=4.8704 b=4.8704 c=3.6912 alpha=90.00 beta=90.00 gamma=90.00
Closest atoms and distances in Å follow each position.
Space group P4/mmm (No. 123)
Symmetry-distinct sites (fractional):
Tl1 0.0000 0.0000 0.0000 x1  8 S 3.06
V1 0.5000 0.5000 0.5000 x1  2 N 1.85
S1 0.0000 0.5000 0.5000 x2  2 V 2.44
N1 0.5000 0.5000 0.0000 x1  2 V 1.85



Density functional theory data (PBE) for a relaxed structure of MgNi2As2.

## Properties
Calculated total energy: -4.599 eV/atom
Fermi-level density of states: 3.16 states/eV/f.u.

Unit cell a=7.1754 b=7.1754 c=2.9781 alpha=90.00 beta=90.00 gamma=90.00
Closest atoms and distances in Å follow each position.
Space group P4/mbm (No. 127)
Symmetry-distinct sites (fractional):
Mg1 0.0000 0.0000 0.0000 x2  4 As 2.72, 2 Mg 2.98
Ni1 0.1311 0.3689 0.5000 x4  6 As 2.54-2.64, 1 Ni 2.66
As1 0.1540 0.6540 0.0000 x4  6 Ni 2.54-2.64, 2 Mg 2.72



Density functional theory data (PBE) for a relaxed structure of Ca2HfV.

## Properties
Calculated total energy: -4.920 eV/atom
Fermi-level density of states: 4.96 states/eV/f.u.

Unit cell a=7.5444 b=7.5444 c=7.5444 alpha=90.00 beta=90.00 gamma=90.00
Closest atoms and distances in Å follow each position.
Space group Fm-3m (No. 225)
Symmetry-distinct sites (fractional):
Ca1 0.2500 0.2500 0.2500 x8  4 Hf 3.27, 4 V 3.27
Hf1 0.0000 0.0000 0.0000 x4  8 Ca 3.27
V1 0.0000 0.0000 0.5000 x4  8 Ca 3.27